[1]
First-principles (PBE-GGA) data for Ac2CdSnPd6 after structural relaxation, as listed in Alexandria via LeMat-Bulk.

Cell: 12.5097 5.6785 8.8124 Å, 90.00 133.43 90.00°
Space group C2/m (No. 12)
Unique sites:
Ac: 0.0291 0.0000 0.2837 [4 per cell]
Cd: 0.0000 0.5000 0.5000 [2 per cell]
Sn: 0.0000 0.5000 0.0000 [2 per cell]
Pd: 0.1748 0.5000 0.9236 [4 per cell]
Pd: 0.2443 0.2468 0.2568 [8 per cell]

calculated volume: 22.7 A^3/atom
DFT formation energy: -0.64 eV/atom

[2]
First-principles (PBE-GGA) data for Ac3CdSn2Pd9 after structural relaxation, as listed in Alexandria via LeMat-Bulk.

Cell: 5.9079 5.9079 12.5478 Å, 90.00 90.00 120.00°
Space group P-3m1 (No. 164)
Unique sites:
Ac: 0.0000 0.0000 0.0000 [1 per cell]
Ac: 0.3333 0.6667 0.7424 [2 per cell]
Cd: 0.0000 0.0000 0.5000 [1 per cell]
Sn: 0.3333 0.6667 0.1646 [2 per cell]
Pd: 0.0000 0.5000 0.0000 [3 per cell]
Pd: 0.1595 0.3189 0.3215 [6 per cell]

calculated volume: 25.3 A^3/atom
DFT formation energy: -0.55 eV/atom

[3]
First-principles (PBE-GGA) data for Ac3Cd2SnPd9 after structural relaxation, as listed in Alexandria via LeMat-Bulk.

Cell: 6.9402 6.9402 9.2942 Å, 90.00 90.00 120.00°
Space group P-3m1 (No. 164)
Unique sites:
Ac: 0.0000 0.0000 0.0000 [1 per cell]
Ac: 0.3333 0.6667 0.7367 [2 per cell]
Cd: 0.3333 0.6667 0.1919 [2 per cell]
Sn: 0.0000 0.0000 0.5000 [1 per cell]
Pd: 0.0000 0.5000 0.0000 [3 per cell]
Pd: 0.1315 0.2630 0.2738 [6 per cell]

calculated volume: 25.8 A^3/atom
DFT formation energy: -0.38 eV/atom

[4]
First-principles (PBE-GGA) data for AcCdSn2Pd5 after structural relaxation, as listed in Alexandria via LeMat-Bulk.

Cell: 4.4854 4.4854 9.6120 Å, 90.00 90.00 90.00°
Space group P4/mmm (No. 123)
Unique sites:
Ac: 0.0000 0.0000 0.0000 [1 per cell]
Cd: 0.0000 0.0000 0.5000 [1 per cell]
Sn: 0.5000 0.5000 0.3569 [2 per cell]
Pd: 0.0000 0.5000 0.2153 [4 per cell]
Pd: 0.5000 0.5000 0.0000 [1 per cell]

calculated volume: 21.5 A^3/atom
DFT formation energy: -0.41 eV/atom

What is the calculated volume in the first record?
22.7 A^3/atom

calculated volume of number 2 (Ac3CdSn2Pd9)?
25.3 A^3/atom

What is the calculated volume in the second record?
25.3 A^3/atom